VASP calculation (SCAN) on a crystal of CeAl4Si2Ir relaxed with PBEsol.

Properties
**Formation energy (no corrections)**: -0.72 eV per atom
**Space-group type**: No. 123
**Total moment**: 0.78 Bohr magnetons per cell

Lattice parameters (Å, degrees): 4.2191 4.2191 7.8767 90.00 90.00 90.00
With the nearest neighbours (Å) after each atom.
Sites, in units of the cell vectors:
Ir: 0.0000 0.0000 0.0000  8 Al 2.50
Si: 0.5000 0.5000 0.3573  1 Si 2.25
Si: 0.5000 0.5000 0.6427  1 Si 2.25
Al: 0.0000 0.5000 0.8293  2 Ir 2.50, 2 Si 2.57, 1 Al 2.69
Al: 0.0000 0.5000 0.1707  2 Ir 2.50, 2 Si 2.57, 1 Al 2.69
Al: 0.5000 0.0000 0.1707  2 Ir 2.50, 2 Si 2.57, 1 Al 2.69
Al: 0.5000 0.0000 0.8293  2 Ir 2.50, 2 Si 2.57, 1 Al 2.69
Ce: 0.0000 0.0000 0.5000  8 Si 3.19, 8 Al 3.34